# 1
A plane-wave DFT calculation with PBEsol was carried out for an optimized crystal structure of Ba2ScAl.

The structure belongs to space group Cmmm (No. 65); the cell edges are 8.178, 8.244 and 4.024 Å and the angles 90.00°, 90.00° and 90.00°. The inequivalent atoms are Ba at (0.250, 0.250, 0.000), Sc at (0.000, 0.000, 0.500) and Al at (0.000, 0.500, 0.500).

Its density of states at the Fermi level is 1.13 states/eV per atom. The calculation puts the formation energy at 229.4 meV per atom. Its magnetization is 0.00 μB per formula unit.

# 2
A plane-wave DFT calculation with PBEsol was carried out for an optimized crystal structure of BaScAl2.

The structure belongs to space group R-3m (No. 166, hexagonal axes); the cell edges are 4.7372, 4.7372 and 18.3470 Å and the angles 90.00°, 90.00° and 120.00°. The inequivalent atoms are Ba at (0.0000, 0.0000, 0.0000), Sc at (0.0000, 0.0000, 0.5000) and Al at (0.0000, 0.0000, 0.1997).

Its density of states at the Fermi level is 0.81 states/eV per atom. The energy relative to the lowest polymorph listed for this composition is 0.000 eV per atom. The calculation puts the formation energy at -65.3 meV per atom. Its magnetization is 0.00 μB per formula unit.

# 3
A plane-wave DFT calculation with PBEsol was carried out for an optimized crystal structure of Ba2ScAl.

The structure belongs to space group I4/mmm (No. 139); the cell edges are 4.989, 4.989 and 10.340 Å and the angles 90.00°, 90.00° and 90.00°. The inequivalent atoms are Ba at (0.000, 0.500, 0.250), Sc at (0.000, 0.000, 0.000) and Al at (0.000, 0.000, 0.500).

Its density of states at the Fermi level is 0.86 states/eV per atom. The calculation puts the formation energy at 200.6 meV per atom. Its magnetization is 0.00 μB per formula unit.

# 4
A plane-wave DFT calculation with PBEsol was carried out for an optimized crystal structure of BaAlSe2.

The structure belongs to space group F-43m (No. 216); the cell edges are 7.442, 7.442 and 7.442 Å and the angles 90.00°, 90.00° and 90.00°. The inequivalent atoms are Ba at (0.000, 0.000, 0.000), Al at (0.250, 0.250, 0.750), Se at (0.000, 0.000, 0.500) and Se at (0.250, 0.250, 0.250).

Its density of states at the Fermi level is 0.60 states/eV per atom. Its energy relative to the elements, uncorrected is -1.61 eV per formula unit. Its magnetization is 0.00 μB per formula unit.

# 5
A plane-wave DFT calculation with PBEsol was carried out for an optimized crystal structure of Ba2AlSe.

The structure belongs to space group Cmmm (No. 65); the cell edges are 7.421, 8.718 and 3.933 Å and the angles 90.00°, 90.00° and 90.00°. The inequivalent atoms are Ba at (0.250, 0.250, 0.000), Al at (0.000, 0.000, 0.500) and Se at (0.000, 0.500, 0.500).

Its density of states at the Fermi level is 0.60 states/eV per atom. Its energy relative to the elements, uncorrected is -3.08 eV per formula unit. Its magnetization is 0.00 μB per formula unit.

# 6
A plane-wave DFT calculation with PBEsol was carried out for an optimized crystal structure of BaAl2Se.

The structure belongs to space group P2/m (No. 10); the cell edges are 4.567, 5.042 and 4.949 Å and the angles 90.00°, 97.61° and 90.00°. The inequivalent atoms are Ba at (0.000, 0.000, 0.000), Al at (0.279, 0.500, 0.637) and Se at (0.500, 0.000, 0.500).

Its density of states at the Fermi level is 0.41 states/eV per atom. Its energy relative to the elements, uncorrected is -1.61 eV per formula unit. Its magnetization is 0.00 μB per formula unit.

# 7
A plane-wave DFT calculation with PBEsol was carried out for an optimized crystal structure of BaAl2Se.

The structure belongs to space group Imm2 (No. 44); the cell edges are 4.445, 4.649 and 10.563 Å and the angles 90.00°, 90.00° and 90.00°. The inequivalent atoms are Ba at (0.000, 0.000, 0.000), Al at (0.000, 0.000, 0.384), Al at (0.000, 0.500, 0.238) and Se at (0.000, 0.500, 0.749).

Its density of states at the Fermi level is 0.33 states/eV per atom. Its energy relative to the elements, uncorrected is -1.46 eV per formula unit. Its magnetization is 0.00 μB per formula unit.

# 8
A plane-wave DFT calculation with PBEsol was carried out for an optimized crystal structure of Ba3AlSe.

The structure belongs to space group Pm-3m (No. 221); the cell edges are 6.144, 6.144 and 6.144 Å and the angles 90.00°, 90.00° and 90.00°. The inequivalent atoms are Ba at (0.000, 0.000, 0.500), Al at (0.500, 0.500, 0.500) and Se at (0.000, 0.000, 0.000).

Its density of states at the Fermi level is 1.29 states/eV per atom. Its energy relative to the elements, uncorrected is -2.72 eV per formula unit. Its magnetization is 1.03 μB per formula unit.

# 9
A plane-wave DFT calculation with PBEsol was carried out for an optimized crystal structure of Ba2AlSi.

The structure belongs to space group Amm2 (No. 38); the cell edges are 4.279, 4.970 and 12.507 Å and the angles 90.00°, 90.00° and 90.00°. The inequivalent atoms are Ba at (0.000, 0.000, 0.000), Ba at (0.500, 0.000, 0.287), Al at (0.500, 0.000, 0.593) and Si at (0.000, 0.000, 0.705).

Its density of states at the Fermi level is 0.88 states/eV per atom. Its energy relative to the elements, uncorrected is -1.22 eV per formula unit. Its magnetization is 0.00 μB per formula unit.

# 10
A plane-wave DFT calculation with PBEsol was carried out for an optimized crystal structure of BaAlSi2.

The structure belongs to space group F-43m (No. 216); the cell edges are 7.124, 7.124 and 7.124 Å and the angles 90.00°, 90.00° and 90.00°. The inequivalent atoms are Ba at (0.000, 0.000, 0.000), Al at (0.250, 0.250, 0.250), Si at (0.000, 0.000, 0.500) and Si at (0.250, 0.250, 0.750).

Its density of states at the Fermi level is 0.62 states/eV per atom. Its energy relative to the elements, uncorrected is 1.45 eV per formula unit. Its magnetization is 0.00 μB per formula unit.

# 11
A plane-wave DFT calculation with PBEsol was carried out for an optimized crystal structure of BaAlSi2.

The structure belongs to space group Cmmm (No. 65); the cell edges are 6.284, 9.306 and 3.064 Å and the angles 90.00°, 90.00° and 90.00°. The inequivalent atoms are Ba at (0.000, 0.000, 0.000), Al at (0.000, 0.500, 0.000) and Si at (0.250, 0.250, 0.500).

Its density of states at the Fermi level is 0.59 states/eV per atom. Its energy relative to the elements, uncorrected is 1.43 eV per formula unit. Its magnetization is 0.00 μB per formula unit.

# 12
A plane-wave DFT calculation with PBEsol was carried out for an optimized crystal structure of Ba2AlSi.

The structure belongs to space group Imm2 (No. 44); the cell edges are 4.104, 5.446 and 10.740 Å and the angles 90.00°, 90.00° and 90.00°. The inequivalent atoms are Ba at (0.000, 0.000, 0.000), Ba at (0.000, 0.500, 0.192), Al at (0.000, 0.000, 0.404) and Si at (0.000, 0.500, 0.770).

Its density of states at the Fermi level is 0.67 states/eV per atom. Its energy relative to the elements, uncorrected is -1.20 eV per formula unit. Its magnetization is 0.00 μB per formula unit.